GaSnTe3, relaxed, DFT GGA-PBE; volume = 37.98 Å³/atom; E = -2.96 eV per atom; space-group type = Pm-3m; DOS at the Fermi energy = 3.93 states/eV/f.u.; formation energy (no corrections) = 332.2 meV/atom; mass density = 4.99 g cm⁻³
1.0
5.748 0.000 0.000
0.000 5.748 0.000
0.000 0.000 5.748
Ga Sn Te
1 1 3
Direct
0.000 0.000 0.000
0.500 0.500 0.500
0.000 0.500 0.500
0.500 0.000 0.500
0.500 0.500 0.000